Record 1
Here is crystalline Na2SrCa6 at its relaxed geometry from the Alexandria database. Energies are from PBE.

Lattice parameters (Å, degrees): 4.1781 7.4796 13.1352 74.50 80.85 73.78
Closest atoms and distances in Å follow each position.
Element x y z (fractional)
Ca 0.3193 0.4848 0.8766  2 Na 3.67, 5 Ca 3.87-4.07, 2 Sr 4.05
Na 0.3389 0.0931 0.2292  6 Ca 3.65-3.67, 2 Sr 3.82
Ca 0.0083 0.3228 0.6606  2 Na 3.65, 6 Ca 3.83-3.89
Ca 0.6807 0.5152 0.1234  2 Na 3.67, 5 Ca 3.87-4.07, 2 Sr 4.05
Ca 0.9917 0.6772 0.3394  2 Na 3.65, 6 Ca 3.83-3.89
Ca 0.6729 0.2215 0.4328  2 Na 3.65, 7 Ca 3.83-4.07
Sr 0.0000 0.0000 0.0000  4 Na 3.82, 4 Ca 4.05, 2 Sr 4.18
Na 0.6611 0.9069 0.7708  6 Ca 3.65-3.67, 2 Sr 3.82
Ca 0.3271 0.7785 0.5672  2 Na 3.65, 7 Ca 3.83-4.07

Results
**Space group**: C2/m, No. 12
**ΔE to the lowest computed polymorph**: 0 meV per atom
**DFT formation energy**: 0.036 eV/atom



Record 2
Here is crystalline Na2SrCa2 at its relaxed geometry from the Alexandria database. Energies are from PBE.

Lattice parameters (Å, degrees): 10.4097 10.4097 3.9765 90.00 90.00 90.00
Closest atoms and distances in Å follow each position.
Element x y z (fractional)
Na 0.6680 0.8320 0.5000  6 Ca 3.59-3.70, 2 Na 3.98
Ca 0.6287 0.1287 0.0000  6 Na 3.59-3.70, 3 Ca 3.79-3.98
Ca 0.3713 0.8713 0.0000  6 Na 3.59-3.70, 3 Ca 3.79-3.98
Ca 0.1287 0.3713 0.0000  6 Na 3.59-3.70, 3 Ca 3.79-3.98
Ca 0.8713 0.6287 0.0000  6 Na 3.59-3.70, 3 Ca 3.79-3.98
Sr 0.0000 0.0000 0.0000  2 Sr 3.98, 4 Ca 4.09, 8 Na 4.35
Na 0.8320 0.3320 0.5000  6 Ca 3.59-3.70, 2 Na 3.98
Na 0.3320 0.1680 0.5000  6 Ca 3.59-3.70, 2 Na 3.98
Sr 0.5000 0.5000 0.0000  2 Sr 3.98, 4 Ca 4.09, 8 Na 4.35
Na 0.1680 0.6680 0.5000  6 Ca 3.59-3.70, 2 Na 3.98

Results
**Space group**: P4/mbm, No. 127
**ΔE to the lowest computed polymorph**: 87 meV per atom
**DFT formation energy**: 0.119 eV/atom



Record 3
Here is crystalline NaSr2Ca3 at its relaxed geometry from the Alexandria database. Energies are from PBE.

Lattice parameters (Å, degrees): 3.9728 7.7591 19.0061 76.00 84.00 75.17
Closest atoms and distances in Å follow each position.
Element x y z (fractional)
Na 0.4918 0.2667 0.7498  4 Ca 3.60-3.92, 3 Sr 3.73-3.98, 2 Na 3.97
Sr 0.1567 0.5991 0.0875  7 Ca 3.86-4.24, 2 Sr 3.97, 2 Na 3.98
Ca 0.9108 0.5794 0.5991  2 Na 3.82, 5 Sr 3.96-4.10, 5 Ca 3.97-4.18
Ca 0.0892 0.4206 0.4009  2 Na 3.82, 5 Sr 3.96-4.10, 5 Ca 3.97-4.18
Ca 0.4144 0.0855 0.0858  1 Na 3.60, 5 Ca 3.74-3.99, 1 Sr 3.86
Sr 0.6537 0.1184 0.5743  1 Na 3.73, 7 Ca 3.96-4.15, 4 Sr 3.97-4.15
Ca 0.7695 0.2098 0.2512  3 Na 3.92-4.09, 6 Ca 3.97-4.06, 4 Sr 4.15-4.24
Sr 0.8433 0.4009 0.9125  7 Ca 3.86-4.24, 2 Sr 3.97, 2 Na 3.98
Na 0.5082 0.7333 0.2502  4 Ca 3.60-3.92, 3 Sr 3.73-3.98, 2 Na 3.97
Ca 0.2305 0.7902 0.7488  3 Na 3.92-4.09, 6 Ca 3.97-4.06, 4 Sr 4.15-4.24
Sr 0.3463 0.8816 0.4257  1 Na 3.73, 7 Ca 3.96-4.15, 4 Sr 3.97-4.15
Ca 0.5856 0.9145 0.9142  1 Na 3.60, 5 Ca 3.74-3.99, 1 Sr 3.86

Results
**Space group**: C2/m, No. 12
**DFT formation energy**: 0.047 eV/atom



Record 4
Here is crystalline Na2SrCa8 at its relaxed geometry from the Alexandria database. Energies are from PBE.

Lattice parameters (Å, degrees): 5.5640 8.7877 10.2856 105.82 105.69 90.00
Closest atoms and distances in Å follow each position.
Element x y z (fractional)
Na 0.7716 0.3584 0.5432  10 Ca 3.76-3.96, 2 Na 3.98
Ca 0.6839 0.9188 0.3678  3 Na 3.76-3.96, 8 Ca 3.81-3.96, 1 Sr 3.90
Sr 0.5000 0.0000 0.0000  12 Ca 3.90-3.97
Ca 0.8594 0.8022 0.7188  3 Na 3.79, 7 Ca 3.89-4.02, 2 Sr 3.97
Ca 0.5928 0.4639 0.1855  8 Ca 3.87-3.97, 3 Na 3.88-3.91, 1 Sr 3.97
Ca 0.3161 0.0812 0.6322  3 Na 3.76-3.96, 8 Ca 3.81-3.96, 1 Sr 3.90
Ca 0.1406 0.1978 0.2812  3 Na 3.79, 7 Ca 3.89-4.02, 2 Sr 3.97
Ca 0.0492 0.7269 0.0984  1 Na 3.83, 9 Ca 3.87-4.02, 2 Sr 3.97
Ca 0.9508 0.2731 0.9016  1 Na 3.83, 9 Ca 3.87-4.02, 2 Sr 3.97
Na 0.2284 0.6416 0.4568  10 Ca 3.76-3.96, 2 Na 3.98
Ca 0.4072 0.5361 0.8145  8 Ca 3.87-3.97, 3 Na 3.88-3.91, 1 Sr 3.97

Results
**Space group**: C2/m, No. 12
**ΔE to the lowest computed polymorph**: 0 meV per atom
**DFT formation energy**: 0.045 eV/atom



Record 5
Here is crystalline NaSr7Ca3 at its relaxed geometry from the Alexandria database. Energies are from PBE.

Lattice parameters (Å, degrees): 4.0620 14.6960 18.9872 90.00 90.00 97.94
Closest atoms and distances in Å follow each position.
Element x y z (fractional)
Sr 0.6111 0.2221 0.2500  6 Sr 4.06-4.49, 5 Ca 4.40-4.47
Ca 0.0922 0.1844 0.0423  8 Sr 3.98-4.25, 2 Ca 4.06
Sr 0.4845 0.9691 0.3848  2 Na 3.92, 4 Ca 3.98-4.25, 3 Sr 4.06-4.19
Na 0.0899 0.1798 0.7500  8 Sr 3.83-3.92, 2 Na 4.06
Sr 0.7101 0.4202 0.0756  3 Ca 3.64-4.04, 3 Sr 3.93-4.06
Sr 0.3405 0.6809 0.1165  2 Na 3.83, 4 Sr 3.93-4.19, 4 Ca 3.97-4.13
Sr 0.2899 0.5798 0.9244  3 Ca 3.64-4.04, 3 Sr 3.93-4.06
Sr 0.5155 0.0309 0.8848  2 Na 3.92, 4 Ca 3.98-4.25, 3 Sr 4.06-4.19
Sr 0.4845 0.9691 0.1152  2 Na 3.92, 4 Ca 3.98-4.25, 3 Sr 4.06-4.19
Ca 0.7621 0.5242 0.2500  6 Sr 3.64-3.97, 2 Ca 4.06
Na 0.9101 0.8202 0.2500  8 Sr 3.83-3.92, 2 Na 4.06
Ca 0.0922 0.1844 0.4577  8 Sr 3.98-4.25, 2 Ca 4.06
Sr 0.7101 0.4202 0.4244  3 Ca 3.64-4.04, 3 Sr 3.93-4.06
Sr 0.3889 0.7779 0.7500  6 Sr 4.06-4.49, 5 Ca 4.40-4.47
Sr 0.3405 0.6809 0.3835  2 Na 3.83, 4 Sr 3.93-4.19, 4 Ca 3.97-4.13
Sr 0.6595 0.3191 0.8835  2 Na 3.83, 4 Sr 3.93-4.19, 4 Ca 3.97-4.13
Sr 0.6595 0.3191 0.6165  2 Na 3.83, 4 Sr 3.93-4.19, 4 Ca 3.97-4.13
Sr 0.2899 0.5798 0.5756  3 Ca 3.64-4.04, 3 Sr 3.93-4.06
Ca 0.2379 0.4758 0.7500  6 Sr 3.64-3.97, 2 Ca 4.06
Ca 0.9078 0.8156 0.9577  8 Sr 3.98-4.25, 2 Ca 4.06
Sr 0.5155 0.0309 0.6152  2 Na 3.92, 4 Ca 3.98-4.25, 3 Sr 4.06-4.19
Ca 0.9078 0.8156 0.5423  8 Sr 3.98-4.25, 2 Ca 4.06

Results
**Space group**: Cmcm, No. 63
**ΔE to the lowest computed polymorph**: 0 meV per atom
**DFT formation energy**: 0.092 eV/atom



Record 6
Here is crystalline Na2Sr4Ca at its relaxed geometry from the Alexandria database. Energies are from PBE.

Lattice parameters (Å, degrees): 7.1679 11.3099 10.6426 113.29 96.88 114.12
Closest atoms and distances in Å follow each position.
Element x y z (fractional)
Sr 0.3345 0.0921 0.4090  4 Na 3.66-4.06
Sr 0.6861 0.6193 0.6263  3 Na 3.64-3.89, 1 Sr 4.06
Na 0.5859 0.3710 0.2487  5 Sr 3.64-4.06
Sr 0.8452 0.6577 0.0941  4 Na 3.65-4.09
Na 0.8349 0.3710 0.7361  2 Na 3.58-3.60, 8 Sr 3.71-3.90
Ca 0.9731 0.0058 0.0131  10 Sr 4.08-4.56, 2 Na 4.12-4.20
Na 0.5859 0.8718 0.2507  6 Sr 3.64-4.07
Sr 0.8701 0.0108 0.6295  3 Na 3.64-3.90, 1 Sr 4.06
Sr 0.9996 0.3123 0.4054  4 Na 3.65-4.07
Ca 0.2076 0.7421 0.4866  10 Sr 4.08-4.54, 2 Na 4.14-4.18
Na 0.3476 0.3849 0.7646  2 Na 3.58-3.60, 8 Sr 3.71-3.89
Sr 0.1768 0.4342 0.0925  4 Na 3.66-4.04
Sr 0.3108 0.7444 0.8733  3 Na 3.65-3.89, 1 Sr 4.05, 1 Ca 4.08
Sr 0.4917 0.1325 0.8701  3 Na 3.64-3.89, 1 Sr 4.05

Results
**Space group**: P1, No. 1
**ΔE to the lowest computed polymorph**: 9 meV per atom
**DFT formation energy**: 0.071 eV/atom



Record 7
Here is crystalline Na4Sr5Ca2 at its relaxed geometry from the Alexandria database. Energies are from PBE.

Lattice parameters (Å, degrees): 4.0602 10.7378 13.3963 113.63 98.72 90.00
Closest atoms and distances in Å follow each position.
Element x y z (fractional)
Ca 0.4187 0.4187 0.8373  5 Na 3.41-3.61
Ca 0.5813 0.5813 0.1627  5 Na 3.41-3.61
Sr 0.8471 0.0503 0.6941  4 Na 3.73-4.13, 2 Sr 4.06, 2 Ca 4.16
Na 0.0000 0.2917 0.0000  4 Ca 3.61, 4 Sr 3.73-3.82
Sr 0.1529 0.3561 0.3059  4 Na 3.73-4.13, 2 Sr 4.06, 2 Ca 4.16
Sr 0.8471 0.6439 0.6941  4 Na 3.73-4.13, 2 Sr 4.06, 2 Ca 4.16
Sr 0.1529 0.9497 0.3059  4 Na 3.73-4.13, 2 Sr 4.06, 2 Ca 4.16
Na 0.2777 0.2777 0.5555  1 Ca 3.41, 2 Sr 3.73
Na 0.0000 0.7083 0.0000  4 Ca 3.61, 4 Sr 3.73-3.82
Na 0.7223 0.7223 0.4445  1 Ca 3.41, 2 Sr 3.73
Sr 0.5000 0.0000 0.0000  4 Na 3.73, 2 Sr 4.06

Results
**Space group**: Immm, No. 71
**ΔE to the lowest computed polymorph**: 8 meV per atom
**DFT formation energy**: 0.115 eV/atom



Record 8
Here is crystalline Na3SrCa3 at its relaxed geometry from the Alexandria database. Energies are from PBE.

Lattice parameters (Å, degrees): 9.0127 9.0127 9.0127 90.00 90.00 90.00
Closest atoms and distances in Å follow each position.
Element x y z (fractional)
Ca 0.0000 0.5000 0.2500  4 Na 3.19
Ca 0.7500 0.0000 0.5000  4 Na 3.19
Ca 0.2500 0.0000 0.5000  4 Na 3.19
Na 0.5000 0.0000 0.7500  4 Ca 3.19
Na 0.0000 0.7500 0.5000  4 Ca 3.19
Ca 0.5000 0.2500 0.0000  4 Na 3.19
Na 0.5000 0.0000 0.2500  4 Ca 3.19
Na 0.2500 0.5000 0.0000  4 Ca 3.19
Ca 0.0000 0.5000 0.7500  4 Na 3.19
Sr 0.5000 0.5000 0.5000  12 Na 5.04, 12 Ca 5.04
Sr 0.0000 0.0000 0.0000  12 Na 5.04, 12 Ca 5.04
Ca 0.5000 0.7500 0.0000  4 Na 3.19
Na 0.7500 0.5000 0.0000  4 Ca 3.19
Na 0.0000 0.2500 0.5000  4 Ca 3.19

Results
**Space group**: Pm-3n, No. 223
**ΔE to the lowest computed polymorph**: 498 meV per atom
**DFT formation energy**: 0.556 eV/atom



Record 9
Here is crystalline Na2SrCa2 at its relaxed geometry from the Alexandria database. Energies are from PBE.

Lattice parameters (Å, degrees): 4.3509 4.3509 12.0452 79.59 79.59 90.00
Closest atoms and distances in Å follow each position.
Element x y z (fractional)
Na 0.2500 0.7500 0.5000  4 Na 3.08
Na 0.7500 0.2500 0.5000  4 Na 3.08
Ca 0.3858 0.3858 0.2284  4 Na 3.84, 4 Sr 4.07
Ca 0.6142 0.6142 0.7716  4 Na 3.84, 4 Sr 4.07
Sr 0.0000 0.0000 0.0000  8 Ca 4.07, 4 Sr 4.35

Results
**Space group**: I4/mmm, No. 139
**ΔE to the lowest computed polymorph**: 124 meV per atom
**DFT formation energy**: 0.156 eV/atom



Record 10
Here is crystalline NaSr2Ca6 at its relaxed geometry from the Alexandria database. Energies are from PBE.

Lattice parameters (Å, degrees): 7.4741 7.9680 7.9680 59.96 89.93 89.93
Closest atoms and distances in Å follow each position.
Element x y z (fractional)
Sr 0.8242 0.6664 0.6664  12 Ca 4.11-4.41
Ca 0.3110 0.8241 0.8241  1 Na 3.36, 2 Ca 3.72
Ca 0.3112 0.3513 0.8247  1 Na 3.36, 2 Ca 3.72
Na 0.0000 0.0000 0.0000  6 Ca 3.36
Ca 0.6888 0.1753 0.6487  1 Na 3.36, 2 Ca 3.72
Ca 0.6890 0.1759 0.1759  1 Na 3.36, 2 Ca 3.72
Sr 0.1758 0.3336 0.3336  12 Ca 4.11-4.41
Ca 0.3112 0.8247 0.3513  1 Na 3.36, 2 Ca 3.72
Ca 0.6888 0.6487 0.1753  1 Na 3.36, 2 Ca 3.72

Results
**Space group**: C2/m, No. 12
**ΔE to the lowest computed polymorph**: 53 meV per atom
**DFT formation energy**: 0.113 eV/atom



Record 11
Here is crystalline Na2Sr5Ca5 at its relaxed geometry from the Alexandria database. Energies are from PBE.

Lattice parameters (Å, degrees): 6.2825 7.7131 18.9825 133.08 90.00 114.03
Closest atoms and distances in Å follow each position.
Element x y z (fractional)
Sr 0.3157 0.6315 0.9825  1 Na 3.71, 3 Ca 3.93-4.07, 4 Sr 3.95-4.06
Ca 0.1578 0.3156 0.4777  1 Na 3.67, 3 Ca 3.75-3.94, 4 Sr 3.89-4.06
Sr 0.6843 0.3685 0.0175  1 Na 3.71, 3 Ca 3.93-4.07, 4 Sr 3.95-4.06
Sr 0.5000 0.0000 0.5000  2 Na 3.94, 6 Ca 4.01-4.05, 4 Sr 4.37
Sr 0.2575 0.5151 0.7410  2 Na 3.77, 4 Ca 3.89-4.16, 2 Sr 4.01-4.06
Na 0.0809 0.1619 0.2453  4 Ca 3.67-3.88, 4 Sr 3.71-3.94
Sr 0.7425 0.4849 0.2590  2 Na 3.77, 4 Ca 3.89-4.16, 2 Sr 4.01-4.06
Ca 0.0000 0.0000 0.0000  2 Na 3.88, 4 Sr 3.93, 2 Ca 4.02
Ca 0.4289 0.8578 0.2521  2 Na 3.86, 4 Ca 3.94-4.24, 6 Sr 4.01-4.31
Na 0.9191 0.8381 0.7547  4 Ca 3.67-3.88, 4 Sr 3.71-3.94
Ca 0.5711 0.1422 0.7479  2 Na 3.86, 4 Ca 3.94-4.24, 6 Sr 4.01-4.31
Ca 0.8422 0.6844 0.5223  1 Na 3.67, 3 Ca 3.75-3.94, 4 Sr 3.89-4.06

Results
**Space group**: C2/m, No. 12
**ΔE to the lowest computed polymorph**: 13 meV per atom
**DFT formation energy**: 0.040 eV/atom



Record 12
Here is crystalline Na2Sr12Ca at its relaxed geometry from the Alexandria database. Energies are from PBE.

Lattice parameters (Å, degrees): 7.7461 7.7461 30.6805 90.00 90.00 90.00
Closest atoms and distances in Å follow each position.
Element x y z (fractional)
Sr 0.3218 0.8218 0.4409  8 Sr 3.90-4.30
Sr 0.1782 0.3218 0.4409  8 Sr 3.90-4.30
Sr 0.2497 0.7497 0.9017  6 Sr 3.87-4.18, 2 Ca 4.07-4.08, 2 Na 4.33-4.34
Sr 0.2497 0.2503 0.0983  6 Sr 3.87-4.18, 2 Ca 4.07-4.08, 2 Na 4.33-4.34
Na 0.5000 0.0000 0.7922  8 Sr 3.88-4.34
Sr 0.7503 0.7497 0.0983  6 Sr 3.87-4.18, 2 Ca 4.07-4.08, 2 Na 4.33-4.34
Ca 0.5000 0.0000 0.0000  8 Sr 4.07-4.08
Sr 0.8218 0.3218 0.5591  8 Sr 3.90-4.30
Na 0.5000 0.0000 0.2078  8 Sr 3.88-4.34
Sr 0.7497 0.2497 0.0983  6 Sr 3.87-4.18, 2 Ca 4.07-4.08, 2 Na 4.33-4.34
Sr 0.7497 0.7503 0.9017  6 Sr 3.87-4.18, 2 Ca 4.07-4.08, 2 Na 4.33-4.34
Ca 0.0000 0.5000 0.0000  8 Sr 4.07-4.08
Sr 0.0000 0.0000 0.7989  4 Na 3.88, 5 Sr 4.14-4.18
Sr 0.5000 0.5000 0.2011  4 Na 3.88, 5 Sr 4.14-4.18
Sr 0.2503 0.7503 0.0983  6 Sr 3.87-4.18, 2 Ca 4.07-4.08, 2 Na 4.33-4.34
Sr 0.2503 0.2497 0.9017  6 Sr 3.87-4.18, 2 Ca 4.07-4.08, 2 Na 4.33-4.34
Sr 0.1782 0.6782 0.5591  8 Sr 3.90-4.30
Sr 0.8218 0.6782 0.4409  8 Sr 3.90-4.30
Sr 0.0000 0.0000 0.3359  5 Sr 4.14-4.30
Sr 0.5000 0.5000 0.3359  5 Sr 4.14-4.30
Sr 0.5000 0.5000 0.6641  5 Sr 4.14-4.30
Sr 0.3218 0.1782 0.5591  8 Sr 3.90-4.30
Sr 0.0000 0.0000 0.2011  4 Na 3.88, 5 Sr 4.14-4.18
Sr 0.0000 0.0000 0.6641  5 Sr 4.14-4.30
Sr 0.6782 0.1782 0.4409  8 Sr 3.90-4.30
Na 0.0000 0.5000 0.7922  8 Sr 3.88-4.34
Sr 0.6782 0.8218 0.5591  8 Sr 3.90-4.30
Na 0.0000 0.5000 0.2078  8 Sr 3.88-4.34
Sr 0.7503 0.2503 0.9017  6 Sr 3.87-4.18, 2 Ca 4.07-4.08, 2 Na 4.33-4.34
Sr 0.5000 0.5000 0.7989  4 Na 3.88, 5 Sr 4.14-4.18

Results
**Space group**: P4/nbm, No. 125
**DFT formation energy**: 0.269 eV/atom